## Ce2ErSn (GGA-PBE)

Data for a geometry-optimized Ce2ErSn structure.

a b c (Å): 7.715 7.715 7.715
angles (deg): 90.00 90.00 90.00
Space group Fm-3m (No. 225)
Symmetry-distinct sites (fractional):
Ce1 0.250 0.250 0.250 (multiplicity 8)
Er1 0.000 0.000 0.000 (multiplicity 4)
Sn1 0.000 0.000 0.500 (multiplicity 4)

Output
The value obtained for the density of states at the Fermi level is 55.8 states/eV/cell. The value obtained for the energy relative to the lowest polymorph listed for this composition is 0.242 eV per atom.